1.
Compound: LiFeCu4As2
Source: the Open Quantum Materials Database
Functional: PBE-GGA
Structure: relaxed

Cell lengths 4.203, 4.203, 5.955 Å; angles 90.00, 90.00, 90.00 degrees
Site moments in Bohr magnetons follow the coordinates.
Fractional positions:
As1 0.500 0.500 0.500  0.02
Cu1 0.500 0.000 0.749  0.01
Cu2 0.000 0.500 0.251  0.01
Li1 0.000 0.000 0.500  0.00
As2 0.000 0.000 0.000  0.04
Cu3 0.500 0.000 0.251  0.01
Cu4 0.000 0.500 0.749  0.01
Fe1 0.500 0.500 0.000  2.68

Results
volume	105	Å³ per cell
size of the total moment	0.360	μB per atom
crystal system	tetragonal
calculated total energy	-4.232	eV per atom



2.
Compound: MgFeCuAs
Source: the Open Quantum Materials Database
Functional: PBE-GGA
Structure: relaxed

Cell lengths 4.317, 4.317, 4.317 Å; angles 60.00, 60.00, 60.00 degrees
Site moments in Bohr magnetons follow the coordinates.
Fractional positions:
Fe1 0.500 0.500 0.500  2.11
Cu1 0.750 0.750 0.750  0.03
Mg1 0.000 0.000 0.000  -0.01
As1 0.250 0.250 0.250  -0.01

Results
volume	57	Å³ per cell
size of the total moment	0.511	μB per atom
polymorph energy (0 for the lowest one)	0.0	meV per atom
crystal system	cubic
calculated total energy	-4.455	eV per atom



3.
Compound: FeCuAsOs
Source: the Open Quantum Materials Database
Functional: PBE-GGA
Structure: relaxed

Cell lengths 4.175, 4.175, 4.175 Å; angles 60.00, 60.00, 60.00 degrees
Fractional positions:
Fe1 0.750 0.750 0.750
Os1 0.250 0.250 0.250
Cu1 0.500 0.500 0.500
As1 0.000 0.000 0.000

Results
volume	51	Å³ per cell
size of the total moment	0.370	μB per atom
polymorph energy (0 for the lowest one)	0.0	meV per atom
crystal system	cubic
calculated total energy	-6.677	eV per atom



4.
Compound: FeCuAsOs
Source: the Open Quantum Materials Database
Functional: PBE-GGA
Structure: relaxed

Cell lengths 4.244, 4.244, 4.244 Å; angles 60.00, 60.00, 60.00 degrees
Fractional positions:
Os1 0.250 0.250 0.250
As1 0.000 0.000 0.000
Fe1 0.500 0.500 0.500
Cu1 0.750 0.750 0.750

Results
volume	54	Å³ per cell
size of the total moment	0.654	μB per atom
polymorph energy (0 for the lowest one)	32.3	meV per atom
crystal system	cubic
calculated total energy	-6.645	eV per atom



Q: Among the records above, which one has the highest volume?
A: LiFeCu4As2



Please write out number 4 again, unchanged.
Compound: FeCuAsOs
Source: the Open Quantum Materials Database
Functional: PBE-GGA
Structure: relaxed

Cell lengths 4.244, 4.244, 4.244 Å; angles 60.00, 60.00, 60.00 degrees
Fractional positions:
Os1 0.250 0.250 0.250
As1 0.000 0.000 0.000
Fe1 0.500 0.500 0.500
Cu1 0.750 0.750 0.750

Results
volume	54	Å³ per cell
size of the total moment	0.654	μB per atom
polymorph energy (0 for the lowest one)	32.3	meV per atom
crystal system	cubic
calculated total energy	-6.645	eV per atom



Q: Look up the calculated total energy of the third one.
A: -6.677 eV per atom



Q: Which value of calculated total energy does entry 3 give?
A: -6.677 eV per atom